Record 1
The following is a PBE calculation of a relaxed ScV3As crystal, from Alexandria.

For the volume, the calculation gives 94 Å³ per cell. For the total energy, the calculation gives -7.22 eV per atom. The calculation puts the energy above the most stable polymorph in this dataset at 0.0 meV/atom.

The structure belongs to space group Pm-3m (No. 221); the cell edges are 4.546, 4.546 and 4.546 Å and the angles 90.00°, 90.00° and 90.00°. The asymmetric unit holds Sc at (0.000, 0.000, 0.000), V at (0.000, 0.500, 0.500) and As at (0.500, 0.500, 0.500).

=====

Record 2
The following is a PBE calculation of a relaxed ScV2As2 crystal, from Alexandria.

For the volume, the calculation gives 172 Å³ per cell. For the total energy, the calculation gives -7.15 eV per atom. The calculation puts the energy above the most stable polymorph in this dataset at 212.6 meV/atom.

The structure belongs to space group I4/mmm (No. 139); the cell edges are 4.679, 4.679 and 7.848 Å and the angles 90.00°, 90.00° and 90.00°. The asymmetric unit holds Sc at (0.000, 0.000, 0.000), V at (0.000, 0.000, 0.376) and As at (0.000, 0.500, 0.250).

=====

Record 3
The following is a PBE calculation of a relaxed ScVAs2 crystal, from Alexandria.

For the volume, the calculation gives 408 Å³ per cell. For the total energy, the calculation gives -6.51 eV per atom. The calculation puts the energy above the most stable polymorph in this dataset at 452.8 meV/atom.

The structure belongs to space group I-42d (No. 122); the cell edges are 5.815, 5.815 and 12.055 Å and the angles 90.00°, 90.00° and 90.00°. The asymmetric unit holds Sc at (0.000, 0.000, 0.000), V at (0.000, 0.000, 0.500) and As at (0.218, 0.250, 0.625).

=====

Record 4
The following is a PBE calculation of a relaxed Sc2VAs crystal, from Alexandria.

For the volume, the calculation gives 322 Å³ per cell. For the total energy, the calculation gives -6.56 eV per atom.

The structure belongs to space group I-42d (No. 122); the cell edges are 7.561, 7.561 and 5.636 Å and the angles 90.00°, 90.00° and 90.00°. The asymmetric unit holds Sc at (0.230, 0.750, 0.125), V at (0.000, 0.000, 0.500) and As at (0.000, 0.000, 0.000).

=====

Record 5
The following is a PBE calculation of a relaxed ScAs2W crystal, from Alexandria.

For the volume, the calculation gives 225 Å³ per cell. For the total energy, the calculation gives -7.48 eV per atom. The calculation puts the energy above the most stable polymorph in this dataset at 141.2 meV/atom.

The structure belongs to space group R-3m (No. 166, hexagonal axes); the cell edges are 3.8393, 3.8393 and 17.6215 Å and the angles 90.00°, 90.00° and 120.00°. The asymmetric unit holds Sc at (0.0000, 0.0000, 0.0000), As at (0.0000, 0.0000, 0.2439) and W at (0.0000, 0.0000, 0.5000).

=====

Record 6
The following is a PBE calculation of a relaxed Sc2AsW crystal, from Alexandria.

For the volume, the calculation gives 314 Å³ per cell. For the total energy, the calculation gives -7.30 eV per atom.

The structure belongs to space group I-42d (No. 122); the cell edges are 7.708, 7.708 and 5.282 Å and the angles 90.00°, 90.00° and 90.00°. The asymmetric unit holds Sc at (0.221, 0.750, 0.125), As at (0.000, 0.000, 0.000) and W at (0.000, 0.000, 0.500).